Entry 1:
An optimized crystal structure of LiTeMo2. Source: Alexandria, functional PBE.

Computed properties:
ΔE_f (raw) in eV/atom: 0.5351
V in Å³ per atom: 17.06

a b c (Å): 5.174 5.319 2.939
angles (deg): 79.72 78.41 115.52
Fractional positions:
Li1 0.500 0.500 0.000
Te1 0.000 0.500 0.500
Mo1 0.000 0.000 0.000
Mo2 0.500 0.000 0.500



Entry 2:
An optimized crystal structure of Cu4TcHg. Source: Alexandria, functional PBE.

Computed properties:
Formation enthalpy at 0 K in meV per atom: 346
V in Å³ per atom: 13.98

a b c (Å): 4.913 4.913 4.913
angles (deg): 60.00 60.00 60.00
Fractional positions:
Hg1 0.750 0.750 0.750
Cu1 0.375 0.375 0.876
Cu2 0.375 0.876 0.375
Cu3 0.375 0.375 0.375
Cu4 0.876 0.375 0.375
Tc1 0.000 0.000 0.000



Entry 3:
An optimized crystal structure of Hf2AgHPb. Source: Alexandria, functional PBE.

Computed properties:
E_tot in eV per cell: -30.05
V in Å³ per atom: 17.26

a b c (Å): 4.345 4.345 4.571
angles (deg): 90.00 90.00 90.00
Fractional positions:
Pb1 0.500 0.500 0.500
Hf1 0.500 0.000 0.000
Hf2 0.000 0.500 0.000
Ag1 0.000 0.000 0.500
H1 0.000 0.000 0.000



Entry 4:
An optimized crystal structure of MgZrAu2. Source: Alexandria, functional PBE.

Computed properties:
Formation enthalpy at 0 K in meV per atom: -447
V in Å³ per atom: 19.61

a b c (Å): 5.214 5.214 4.974
angles (deg): 80.33 80.33 36.12
Fractional positions:
Au1 0.001 0.001 0.039
Au2 0.748 0.748 0.700
Mg1 0.491 0.491 0.562
Zr1 0.260 0.260 0.199



> The highest V belongs to which entry?

MgZrAu2



> Look up the V of the first one.

17.06 Å³ per atom



> Which formula does entry 4 have?

MgZrAu2